Here is an optimized crystal structure of LiScHPt2 from Alexandria. Energies are from PBE.

Geometry as CIF:
```
data_LiScHPt2
_cell_length_a 4.062
_cell_length_b 4.062
_cell_length_c 3.947
_cell_angle_alpha 90.00
_cell_angle_beta 90.00
_cell_angle_gamma 90.00
_space_group_name_H-M_alt 'P 4/m m m'
_space_group_IT_number 123
_space_group_name_Hall '-P 4 2'
loop_
_atom_site_label
_atom_site_fract_x
_atom_site_fract_y
_atom_site_fract_z
_atom_site_occupancy
Li1 0.000 0.000 0.000 1
Sc1 0.500 0.500 0.000 1
H1 0.000 0.000 0.500 1
Pt1 0.000 0.500 0.500 1
```

## Properties
Spin magnetization, μB per cell: 0.0
E above lowest polymorph, meV per atom: 0
Fermi-level density of states, states/eV/atom: 0.343